# ZnRuAu PBE relaxed
data_ZnRuAu
_cell_length_a 2.8194
_cell_length_b 2.8194
_cell_length_c 6.7276
_cell_angle_alpha 90.00
_cell_angle_beta 90.00
_cell_angle_gamma 120.00
_space_group_name_H-M_alt 'P 3 m 1'
_space_group_IT_number 156
loop_
_space_group_symop_operation_xyz
'x,y,z'
'-y,x-y,z'
'-x+y,-x,z'
'-y,-x,z'
'-x+y,y,z'
'x,x-y,z'
loop_
_atom_site_label
_atom_site_type_symbol
_atom_site_fract_x
_atom_site_fract_y
_atom_site_fract_z
Zn1 Zn 0.0000 0.0000 0.0000
Ru1 Ru 0.3333 0.6667 0.6909
Au1 Au 0.6667 0.3333 0.3372
# energy of formation from the pure elements: 135 meV/atom
# N(E_F): 2.476 states/eV/cell
# crystal system: trigonal
# offset from the most stable computed form: 0.228 eV per atom
# total DFT energy (no corrections): -0.1644 Ha/atom

# Zn2RuAu PBE relaxed
data_Zn2RuAu
_cell_length_a 2.898
_cell_length_b 2.898
_cell_length_c 7.172
_cell_angle_alpha 90.00
_cell_angle_beta 90.00
_cell_angle_gamma 90.00
_space_group_name_H-M_alt 'P 4/m m m'
_space_group_IT_number 123
_space_group_name_Hall '-P 4 2'
loop_
_atom_site_label
_atom_site_type_symbol
_atom_site_fract_x
_atom_site_fract_y
_atom_site_fract_z
Zn1 Zn 0.000 0.000 0.232
Ru1 Ru 0.500 0.500 0.000
Au1 Au 0.500 0.500 0.500
# energy of formation from the pure elements: -44 meV/atom
# N(E_F): 3.752 states/eV/cell
# crystal system: tetragonal
# total DFT energy (no corrections): -0.1403 Ha/atom